A relaxed TiV2H2 crystal. Source: the Alexandria database, functional PBE.

N(E_F) (states/eV/f.u.): 4.49
Energy above the lowest structure with this stoichiometry (meV per atom): 9
Symmetry: No. 139

a b c (Å): 3.204 3.204 5.237
angles (deg): 72.19 72.19 90.00
Element x y z (fractional)
V 0.661 0.661 0.678
H 0.750 0.250 0.500
H 0.250 0.750 0.500
V 0.339 0.339 0.322
Ti 0.000 0.000 0.000